# 1
First-principles (PBE) data for a relaxed structure of Ac2La7Er2, as listed in Alexandria.

```
data_Ac2La7Er2
_chemical_formula_sum 'Ac4 La14 Er4'
_symmetry_space_group_name_H-M 'C 1 2/m 1'
_symmetry_Int_Tables_number 12
_symmetry_space_group_name_Hall '-C 2y'
_cell_length_a 11.727
_cell_length_b 11.997
_cell_length_c 6.300
_cell_angle_alpha 90.00
_cell_angle_beta 111.51
_cell_angle_gamma 90.00
loop_
_atom_site_label
_atom_site_fract_x
_atom_site_fract_y
_atom_site_fract_z
Ac1 0.222 0.000 0.101
La1 0.000 0.000 0.500
La2 0.073 0.500 0.300
La3 0.183 0.228 0.676
Er1 0.000 0.229 0.000
```

N(E_F) (states/eV/f.u.): 16.8
Crystal system: monoclinic
ΔE to the lowest computed polymorph (eV per formula unit): 0.39
Total DFT energy (no corrections) (eV/atom): -4.58
Magnetization (μB/f.u.): 0.0
Formation energy (kcal/mol of atoms): 3.0

# 2
First-principles (PBE) data for a relaxed structure of AcLa6Er12, as listed in Alexandria.

```
data_AcLa6Er12
_chemical_formula_sum 'Ac3 La18 Er36'
_symmetry_space_group_name_H-M 'R -3 m'
_symmetry_Int_Tables_number 166
_symmetry_space_group_name_Hall '-R 3 2"'
_cell_length_a 13.4283
_cell_length_b 13.4283
_cell_length_c 12.6700
_cell_angle_alpha 90.00
_cell_angle_beta 90.00
_cell_angle_gamma 120.00
loop_
_atom_site_label
_atom_site_fract_x
_atom_site_fract_y
_atom_site_fract_z
Ac1 0.0000 0.0000 0.0000
La1 0.0313 0.5157 0.6171
Er1 0.0000 0.2547 0.5000
Er2 0.0925 0.1850 0.2633
```

N(E_F) (states/eV/f.u.): 31.5
Crystal system: trigonal
Total DFT energy (no corrections) (eV/atom): -4.44
Magnetization (μB/f.u.): 0.0
Formation energy (kcal/mol of atoms): 4.9

# 3
First-principles (PBE) data for a relaxed structure of Ac2La7Er4, as listed in Alexandria.

```
data_Ac2La7Er4
_chemical_formula_sum 'Ac2 La7 Er4'
_symmetry_space_group_name_H-M 'P -3 1 m'
_symmetry_Int_Tables_number 162
_symmetry_space_group_name_Hall '-P 3 2'
_cell_length_a 6.4076
_cell_length_b 6.4076
_cell_length_c 13.2193
_cell_angle_alpha 90.00
_cell_angle_beta 90.00
_cell_angle_gamma 120.00
loop_
_atom_site_label
_atom_site_fract_x
_atom_site_fract_y
_atom_site_fract_z
Ac1 0.3333 0.6667 0.0000
La1 0.0000 0.0000 0.0000
La2 0.0000 0.3838 0.7632
Er1 0.0000 0.0000 0.3911
Er2 0.3333 0.6667 0.5000
```

N(E_F) (states/eV/f.u.): 20.0
Crystal system: trigonal
Total DFT energy (no corrections) (eV/atom): -4.50
Magnetization (μB/f.u.): 0.0
Formation energy (kcal/mol of atoms): 4.4

# 4
First-principles (PBE) data for a relaxed structure of Ac3La3Er2, as listed in Alexandria.

```
data_Ac3La3Er2
_chemical_formula_sum 'Ac6 La6 Er4'
_symmetry_space_group_name_H-M 'C 1 2/m 1'
_symmetry_Int_Tables_number 12
_symmetry_space_group_name_Hall '-C 2y'
_cell_length_a 17.740
_cell_length_b 5.956
_cell_length_c 6.242
_cell_angle_alpha 90.00
_cell_angle_beta 108.79
_cell_angle_gamma 90.00
loop_
_atom_site_label
_atom_site_fract_x
_atom_site_fract_y
_atom_site_fract_z
Ac1 0.000 0.000 0.000
Ac2 0.138 0.000 0.594
La1 0.000 0.500 0.500
La2 0.140 0.500 0.202
Er1 0.248 0.500 0.818
```

N(E_F) (states/eV/f.u.): 12.8
Crystal system: monoclinic
Total DFT energy (no corrections) (eV/atom): -4.45
Magnetization (μB/f.u.): 0.0
Formation energy (kcal/mol of atoms): 1.9

# 5
First-principles (PBE) data for a relaxed structure of Ac8La5Er, as listed in Alexandria.

```
data_Ac8La5Er
_chemical_formula_sum 'Ac16 La10 Er2'
_symmetry_space_group_name_H-M 'I -4'
_symmetry_Int_Tables_number 82
_symmetry_space_group_name_Hall 'I -4'
_cell_length_a 10.424
_cell_length_b 10.424
_cell_length_c 10.848
_cell_angle_alpha 90.00
_cell_angle_beta 90.00
_cell_angle_gamma 90.00
loop_
_atom_site_label
_atom_site_fract_x
_atom_site_fract_y
_atom_site_fract_z
Ac1 0.067 0.328 0.409
Ac2 0.083 0.187 0.747
La1 0.000 0.000 0.500
La2 0.099 0.202 0.077
Er1 0.000 0.500 0.750
```

N(E_F) (states/eV/f.u.): 22.4
Crystal system: tetragonal
Total DFT energy (no corrections) (eV/atom): -4.20
Magnetization (μB/f.u.): 0.0
Formation energy (kcal/mol of atoms): 5.3

# 6
First-principles (PBE) data for a relaxed structure of AcLa12Er6, as listed in Alexandria.

```
data_AcLa12Er6
_chemical_formula_sum 'Ac3 La36 Er18'
_symmetry_space_group_name_H-M 'R -3'
_symmetry_Int_Tables_number 148
_symmetry_space_group_name_Hall '-R 3'
_cell_length_a 15.2163
_cell_length_b 15.2163
_cell_length_c 10.1676
_cell_angle_alpha 90.00
_cell_angle_beta 90.00
_cell_angle_gamma 120.00
loop_
_atom_site_label
_atom_site_fract_x
_atom_site_fract_y
_atom_site_fract_z
Ac1 0.0000 0.0000 0.0000
La1 0.0452 0.8587 0.4036
La2 0.0624 0.6007 0.7648
Er1 0.0488 0.8132 0.7592
```

N(E_F) (states/eV/f.u.): 32.6
Crystal system: trigonal
Total DFT energy (no corrections) (eV/atom): -4.55
Magnetization (μB/f.u.): 0.0
Formation energy (kcal/mol of atoms): 5.0

# 7
First-principles (PBE) data for a relaxed structure of Ac2La3Er4, as listed in Alexandria.

```
data_Ac2La3Er4
_chemical_formula_sum 'Ac4 La6 Er8'
_symmetry_space_group_name_H-M 'I m m m'
_symmetry_Int_Tables_number 71
_symmetry_space_group_name_Hall '-I 2 2'
_cell_length_a 3.593
_cell_length_b 10.058
_cell_length_c 18.095
_cell_angle_alpha 90.00
_cell_angle_beta 90.00
_cell_angle_gamma 90.00
loop_
_atom_site_label
_atom_site_fract_x
_atom_site_fract_y
_atom_site_fract_z
Ac1 0.000 0.177 0.000
La1 0.000 0.000 0.500
La2 0.000 0.500 0.337
Er1 0.000 0.325 0.172
```

N(E_F) (states/eV/f.u.): 16.4
Crystal system: orthorhombic
Total DFT energy (no corrections) (eV/atom): -4.40
Magnetization (μB/f.u.): 0.0
Formation energy (kcal/mol of atoms): 4.1

# 8
First-principles (PBE) data for a relaxed structure of Ac8La6Er, as listed in Alexandria.

```
data_Ac8La6Er
_chemical_formula_sum 'Ac8 La6 Er1'
_symmetry_space_group_name_H-M 'P -3'
_symmetry_Int_Tables_number 147
_symmetry_space_group_name_Hall '-P 3'
_cell_length_a 10.1373
_cell_length_b 10.1373
_cell_length_c 7.2318
_cell_angle_alpha 90.00
_cell_angle_beta 90.00
_cell_angle_gamma 120.00
loop_
_atom_site_label
_atom_site_fract_x
_atom_site_fract_y
_atom_site_fract_z
Ac1 0.0316 0.3340 0.1190
Ac2 0.3333 0.6667 0.7780
La1 0.0537 0.6697 0.3977
Er1 0.0000 0.0000 0.5000
```

N(E_F) (states/eV/f.u.): 20.8
Crystal system: trigonal
Total DFT energy (no corrections) (eV/atom): -4.25
Magnetization (μB/f.u.): 0.0
Formation energy (kcal/mol of atoms): 5.0

# 9
First-principles (PBE) data for a relaxed structure of Ac2La5Er, as listed in Alexandria.

```
data_Ac2La5Er
_chemical_formula_sum 'Ac4 La10 Er2'
_symmetry_space_group_name_H-M 'I m m m'
_symmetry_Int_Tables_number 71
_symmetry_space_group_name_Hall '-I 2 2'
_cell_length_a 3.687
_cell_length_b 11.750
_cell_length_c 14.019
_cell_angle_alpha 90.00
_cell_angle_beta 90.00
_cell_angle_gamma 90.00
loop_
_atom_site_label
_atom_site_fract_x
_atom_site_fract_y
_atom_site_fract_z
Ac1 0.000 0.000 0.243
La1 0.000 0.000 0.500
La2 0.000 0.259 0.122
Er1 0.000 0.500 0.500
```

N(E_F) (states/eV/f.u.): 14.1
Crystal system: orthorhombic
Total DFT energy (no corrections) (eV/atom): -4.60
Magnetization (μB/f.u.): 0.0
Formation energy (kcal/mol of atoms): 1.7

# 10
First-principles (PBE) data for a relaxed structure of Ac4La2Er, as listed in Alexandria.

```
data_Ac4La2Er
_chemical_formula_sum 'Ac16 La8 Er4'
_symmetry_space_group_name_H-M 'C m c m'
_symmetry_Int_Tables_number 63
_symmetry_space_group_name_Hall '-C 2c 2'
_cell_length_a 7.379
_cell_length_b 13.853
_cell_length_c 11.494
_cell_angle_alpha 90.00
_cell_angle_beta 90.00
_cell_angle_gamma 90.00
loop_
_atom_site_label
_atom_site_fract_x
_atom_site_fract_y
_atom_site_fract_z
Ac1 0.000 0.225 0.053
Ac2 0.232 0.500 0.000
La1 0.000 0.073 0.750
La2 0.000 0.338 0.750
Er1 0.000 0.411 0.250
```

N(E_F) (states/eV/f.u.): 10.0
Crystal system: orthorhombic
Total DFT energy (no corrections) (eV/atom): -4.20
Magnetization (μB/f.u.): 0.0
Formation energy (kcal/mol of atoms): 4.8